[1]
Below is a relaxed structure of MgH3Ir4, with properties calculated at the GGA-PBE level.

Lattice parameters (Å, degrees): 4.400 5.052 5.052 113.59 64.39 115.61
Atoms (fractional coordinates):
Mg (0.806, 0.181, 0.875)
H (0.346, 0.228, 0.827)
H (0.125, 0.724, 0.912)
H (0.125, 0.143, 0.330)
Ir (0.461, 0.118, 0.430)
Ir (0.805, 0.727, 0.328)
Ir (0.120, 0.545, 0.510)
Ir (0.462, 0.625, 0.937)

## Properties
Total magnetization, μB per atom: 0.000
Mass density, Mg/m³: 15.00
Electronic total energy, Ha/atom: -0.2147
Crystal system: monoclinic



[2]
Below is a relaxed structure of Mg2BiO, with properties calculated at the GGA-PBE level.

Lattice parameters (Å, degrees): 3.330 3.330 7.979 77.95 77.95 60.00
Atoms (fractional coordinates):
Mg (0.282, 0.282, 0.153)
Mg (0.718, 0.718, 0.847)
Bi (0.500, 0.500, 0.500)
O (0.000, 0.000, 0.000)

## Properties
Total magnetization, μB per atom: 0.000
Mass density, Mg/m³: 6.11
Crystal system: trigonal
Formation energy from raw total energies, meV/atom: -1117



[3]
Below is a relaxed structure of LaDyC4, with properties calculated at the GGA-PBE level.

Lattice parameters (Å, degrees): 3.784 4.238 6.738 80.02 73.69 63.49
Atoms (fractional coordinates):
La (0.000, 0.000, 0.000)
Dy (0.500, 0.500, 0.500)
C (0.810, 0.601, 0.779)
C (0.297, 0.089, 0.318)
C (0.190, 0.399, 0.221)
C (0.703, 0.911, 0.682)

## Properties
Total magnetization, μB per atom: 0.000
Mass density, Mg/m³: 6.26
Crystal system: monoclinic
Energy of formation from the pure elements, eV per atom: -0.1708